A plane-wave DFT calculation with PBE was carried out for crystalline CdNiSnRu at its relaxed geometry.

- magnetic moment (μB per atom) = 0.001
- Fermi-level density of states (states/eV/atom) = 0.88
- volume (Å³/atom) = 16.27
- E (eV per atom) = -4.93

a = 4.5148 Å, b = 4.5148 Å, c = 4.5148 Å
α = 60.00°, β = 60.00°, γ = 60.00°
Element x y z (fractional)
1 Cd 0.0000 0.0000 0.0000
2 Ni 0.2500 0.2500 0.2500
3 Sn 0.5000 0.5000 0.5000
4 Ru 0.7500 0.7500 0.7500